(1)
Below is a crystal of TaTl2P relaxed with PBEsol, with properties calculated at the meta-GGA SCAN level.

Cell and atoms, written as POSCAR:
```
TaTl2P
1.0
3.8421 0.0000 0.0000
0.0000 3.8421 0.0000
0.0000 0.0000 5.4512
Ta Tl P
1 2 1
Direct
0.0000 0.0000 0.0000 Ta
0.5000 0.5000 0.2504 Tl
0.5000 0.5000 0.7496 Tl
0.0000 0.0000 0.5000 P
```

Symmetry = P4/mmm
Distance to the lowest polymorph of the same formula = 463 meV/atom

(2)
Below is a crystal of TaVP relaxed with PBEsol, with properties calculated at the meta-GGA SCAN level.

Cell and atoms, written as POSCAR:
```
TaVP
1.0
6.3650 0.0000 0.0000
0.0000 3.3625 0.0000
0.0000 0.0000 7.6142
Ta V P
4 4 4
Direct
0.0364 0.2500 0.1668 Ta
0.4636 0.7500 0.6668 Ta
0.5364 0.2500 0.3332 Ta
0.9636 0.7500 0.8332 Ta
0.1381 0.2500 0.5579 V
0.3619 0.7500 0.0579 V
0.6381 0.2500 0.9421 V
0.8619 0.7500 0.4421 V
0.2377 0.7500 0.3597 P
0.2623 0.2500 0.8597 P
0.7377 0.7500 0.1403 P
0.7623 0.2500 0.6403 P
```

Symmetry = Pnma

(3)
Below is a crystal of TaPW3 relaxed with PBEsol, with properties calculated at the meta-GGA SCAN level.

Cell and atoms, written as POSCAR:
```
TaPW3
1.0
4.4004 0.0000 0.0000
0.0000 4.4004 0.0000
0.0000 0.0000 4.4004
Ta P W
1 1 3
Direct
0.0000 0.0000 0.0000 Ta
0.5000 0.5000 0.5000 P
0.0000 0.5000 0.5000 W
0.5000 0.0000 0.5000 W
0.5000 0.5000 0.0000 W
```

Symmetry = Pm-3m

(4)
Below is a crystal of TaPW2 relaxed with PBEsol, with properties calculated at the meta-GGA SCAN level.

Cell and atoms, written as POSCAR:
```
TaPW2
1.0
3.6495 0.0000 0.0000
0.0000 3.6495 0.0000
0.0000 0.0000 4.6081
Ta P W
1 1 2
Direct
0.0000 0.0000 0.0000 Ta
0.5000 0.5000 0.0000 P
0.0000 0.5000 0.5000 W
0.5000 0.0000 0.5000 W
```

Symmetry = P4/mmm

Quick rundown of formation energy from the elements, same order as above: 746 -876 846 199 meV/atom